Entry from Alexandria: Y3ZrSc8 after structural relaxation (PBE-GGA).

Output
E: -5.926 eV per atom
symmetry: I-42m, No. 121
formation energy from the elements: 0.62 eV/atom
DOS(E_F): 22.8 states/eV per cell
total magnetization: 0.01 Bohr magnetons per cell

a = 7.871 Å, b = 7.871 Å, c = 7.871 Å
α = 116.57°, β = 116.57°, γ = 96.05°
Positions (direct):
Y (0.000, 0.000, 0.000)
Y (0.250, 0.750, 0.500)
Y (0.750, 0.250, 0.500)
Zr (0.500, 0.500, 0.000)
Sc (0.142, 0.142, 0.751)
Sc (0.237, 0.699, 0.000)
Sc (0.301, 0.301, 0.538)
Sc (0.390, 0.390, 0.249)
Sc (0.610, 0.858, 0.000)
Sc (0.699, 0.237, 0.000)
Sc (0.763, 0.763, 0.462)
Sc (0.858, 0.610, 0.000)